Entry 1:
Density functional theory data (PBE) for an optimized crystal structure of AlCoNi4.

The structure belongs to space group Cmmm (No. 65); the cell edges are 4.120, 7.971 and 4.120 Å and the angles 90.00°, 90.00° and 90.00°. The asymmetric unit holds Al at (0.000, 0.000, 0.000), Co at (0.000, 0.500, 0.500), Ni at (0.000, 0.168, 0.500) and Ni at (0.000, 0.338, 0.000).

The mass density is 7.87 g/cm3. The spin magnetization is 4.62 μB/cell. As for the energy of formation from the pure elements: -172.1 meV per atom. As for the excess energy over the best structure of this formula in the dataset: 0 meV/atom. Its density of states at the Fermi level is 15.530 states/eV/cell.

Entry 2:
Density functional theory data (PBE) for an optimized crystal structure of Al2CoNi3.

The structure belongs to space group Ibam (No. 72); the cell edges are 4.940, 12.447 and 4.814 Å and the angles 90.00°, 90.00° and 90.00°. The asymmetric unit holds Al at (0.206, 0.143, 0.000), Co at (0.000, 0.500, 0.250), Ni at (0.000, 0.000, 0.250) and Ni at (0.197, 0.334, 0.000).

The mass density is 6.48 g/cm3. The spin magnetization is 7.09 μB/cell. As for the energy of formation from the pure elements: -255.3 meV per atom. Its density of states at the Fermi level is 19.090 states/eV/cell.

Entry 3:
Density functional theory data (PBE) for an optimized crystal structure of Al3CoNi6.

The structure belongs to space group P2_1/m (No. 11); the cell edges are 6.764, 4.118 and 8.847 Å and the angles 90.00°, 110.24° and 90.00°. The asymmetric unit holds Al at (0.076, 0.250, 0.228), Al at (0.300, 0.250, 0.021), Al at (0.320, 0.750, 0.381), Co at (0.100, 0.750, 0.564), Ni at (0.098, 0.250, 0.725), Ni at (0.108, 0.750, 0.074), Ni at (0.291, 0.250, 0.533), Ni at (0.305, 0.750, 0.863), Ni at (0.488, 0.250, 0.323) and Ni at (0.496, 0.250, 0.830).

The mass density is 7.07 g/cm3. The spin magnetization is 4.25 μB/cell. As for the energy of formation from the pure elements: -407.8 meV per atom. Its density of states at the Fermi level is 14.606 states/eV/cell.

Taking the records one at a time from the top gives uncorrected energy values of -5.834, -5.578, -5.710 eV/atom.